Record 1
A plane-wave DFT calculation with GGA-PBE was carried out for AcPrCd4 after structural relaxation.

Computed properties:
Energy of formation from the pure elements: -0.31 eV per atom
Volume: 27.1 A^3/atom

Cell: 6.128 6.128 6.128 Å, 60.00 60.00 60.00°
Fractional positions:
Ac1 0.000 0.000 0.000
Pr1 0.250 0.250 0.250
Cd1 0.127 0.624 0.624
Cd2 0.624 0.127 0.624
Cd3 0.624 0.624 0.127
Cd4 0.624 0.624 0.624

***

Record 2
A plane-wave DFT calculation with GGA-PBE was carried out for Ac2Pr2Cd15 after structural relaxation.

Computed properties:
Energy of formation from the pure elements: -0.17 eV per atom
Volume: 26.0 A^3/atom

Cell: 7.998 7.998 7.998 Å, 80.79 80.79 80.79°
Fractional positions:
Ac1 0.162 0.162 0.162
Ac2 0.838 0.838 0.838
Pr1 0.409 0.409 0.409
Pr2 0.591 0.591 0.591
Cd1 0.000 0.500 0.500
Cd2 0.138 0.138 0.655
Cd3 0.138 0.655 0.138
Cd4 0.202 0.500 0.798
Cd5 0.202 0.798 0.500
Cd6 0.345 0.862 0.862
Cd7 0.500 0.000 0.500
Cd8 0.500 0.202 0.798
Cd9 0.500 0.500 0.000
Cd10 0.500 0.798 0.202
Cd11 0.655 0.138 0.138
Cd12 0.798 0.202 0.500
Cd13 0.798 0.500 0.202
Cd14 0.862 0.345 0.862
Cd15 0.862 0.862 0.345

***

Record 3
A plane-wave DFT calculation with GGA-PBE was carried out for Ac3Pr2Cd2 after structural relaxation.

Computed properties:
Energy of formation from the pure elements: -0.02 eV per atom
Volume: 35.7 A^3/atom

Cell: 5.209 25.377 3.777 Å, 90.00 90.00 90.00°
Fractional positions:
Ac1 0.000 0.000 0.000
Ac2 0.000 0.143 0.000
Ac3 0.000 0.857 0.000
Ac4 0.500 0.357 0.000
Ac5 0.500 0.500 0.000
Ac6 0.500 0.643 0.000
Pr1 0.000 0.287 0.500
Pr2 0.000 0.713 0.500
Pr3 0.500 0.213 0.500
Pr4 0.500 0.787 0.500
Cd1 0.000 0.428 0.500
Cd2 0.000 0.572 0.500
Cd3 0.500 0.072 0.500
Cd4 0.500 0.928 0.500